one:
! PBE-GGA SrTe2RhI, optimized geometry; values from VASP
&SYSTEM
  ibrav = 0, nat = 5, ntyp = 4
/
ATOMIC_SPECIES
Rh 102.91 Rh.upf
I 126.90 I.upf
Te 127.60 Te.upf
Sr 87.62 Sr.upf
CELL_PARAMETERS angstrom
5.342 0.000 0.000
0.000 5.342 0.000
0.000 0.000 5.484
ATOMIC_POSITIONS crystal
Rh 0.000 0.000 0.000
I 0.000 0.000 0.500
Te 0.500 0.000 0.000
Te 0.000 0.500 0.000
Sr 0.500 0.500 0.500
! Spin magnetization ... 0.00 Bohr magnetons per cell

---

two:
! PBE-GGA SrTe2RhI, optimized geometry; values from VASP
&SYSTEM
  ibrav = 0, nat = 5, ntyp = 4
/
ATOMIC_SPECIES
Te 127.60 Te.upf
Sr 87.62 Sr.upf
Rh 102.91 Rh.upf
I 126.90 I.upf
CELL_PARAMETERS angstrom
6.241 0.000 0.000
0.000 6.241 0.000
0.000 0.000 6.246
ATOMIC_POSITIONS crystal
Te 0.000 0.500 0.000
Te 0.500 0.000 0.000
Sr 0.000 0.000 0.000
Rh 0.500 0.500 0.500
I 0.000 0.000 0.500
! Spin magnetization ... 3.60 Bohr magnetons per cell

---

one is favored, and the nearest alternative lies 1188 meV/atom above it.